Computed, not measured: a geometry-optimized Ti4PdRh2 structure at the PBE level of DFT.

a b c (Å): 6.320 6.320 6.320
angles (deg): 135.83 135.83 64.24
Fractional positions:
Ti (0.000, 0.500, 0.500)
Ti (0.250, 0.750, 0.500)
Ti (0.500, 0.000, 0.500)
Ti (0.750, 0.250, 0.500)
Pd (0.000, 0.000, 0.000)
Rh (0.367, 0.367, 0.000)
Rh (0.633, 0.633, 0.000)

final energy = -7.410 eV/atom
energy relative to the lowest polymorph listed for this composition = 2.14 eV/f.u.
magnetic moment = 0.00 μB/cell
crystal system = tetragonal
SG = I4/mmm (139)
ΔH_f (0 K) = -0.0564 eV/atom

***

Computed, not measured: a geometry-optimized ScTl2Cu structure at the PBE level of DFT.

a b c (Å): 5.231 5.231 5.534
angles (deg): 109.42 109.42 38.94
Fractional positions:
Sc (0.000, 0.000, 0.000)
Tl (0.227, 0.227, 0.728)
Tl (0.773, 0.773, 0.272)
Cu (0.500, 0.500, 0.500)

final energy = -3.714 eV/atom
energy relative to the lowest polymorph listed for this composition = 0.39 eV/f.u.
magnetic moment = 0.00 μB/cell
crystal system = monoclinic
SG = C2/m (12)
ΔH_f (0 K) = 0.0761 eV/atom